# La2Zn6Ru (GGA-PBE, relaxed)
# * calculated density: 7.29 g cm⁻³
# * DOS(E_F): 8.60 states/eV per cell
# * total DFT energy (no corrections): -58.46 eV per cell
data_La2Zn6Ru
_chemical_formula_sum 'La4 Zn12 Ru2'
_space_group_name_H-M_alt 'C 1 2/m 1'
_space_group_IT_number 12
_space_group_name_Hall '-C 2y'
_cell_length_a 9.757
_cell_length_b 6.280
_cell_length_c 5.777
_cell_angle_alpha 90.00
_cell_angle_beta 97.10
_cell_angle_gamma 90.00
loop_
_atom_site_label
_atom_site_fract_x
_atom_site_fract_y
_atom_site_fract_z
La1 0.188 0.000 0.346
Zn1 0.088 0.212 0.826
Zn2 0.145 0.500 0.148
Ru1 0.000 0.500 0.500